(1)
5
Lattice="5.6171 0.0000 0.0000 0.0000 5.8751 0.0000 0.0000 0.0000 5.6171" Properties=species:S:1:pos:R:3 comment="LaHfCdBi2, optimized geometry, DFT PBE" volume_a3_per_atom=37.07 spacegroup="P4/mmm (123)" magnetic_moment_mub_per_cell=0.00 formation_energy_ev_per_atom=0.24 n_ef_per_ev_fu=5.6 pbc="T T T"
Hf 0.0000 0.0000 0.0000
Bi 2.8085 0.0000 0.0000
Bi 0.0000 0.0000 2.8085
Cd 2.8085 2.9376 2.8085
La 0.0000 2.9376 0.0000

=====

(2)
5
Lattice="-4.5475 -2.9831 -0.5791 2.3286 -2.7793 -3.9694 1.9031 -3.6084 3.6430" Properties=species:S:1:pos:R:3 comment="HfCdNiBi2, optimized geometry, DFT PBE" volume_a3_per_atom=32.16 spacegroup="P4/mmm (123)" magnetic_moment_mub_per_cell=0.52 formation_energy_ev_per_atom=1.43 n_ef_per_ev_fu=7.4 pbc="T T T"
Ni -0.1579 -4.6854 -0.4528
Bi -2.2738 -1.4915 -0.2896
Bi 0.9516 -1.8042 1.8215
Hf 1.1643 -1.3896 -1.9847
Cd 0.0000 0.0000 0.0000

=====

(3)
5
Lattice="-2.1503 1.9529 -4.5602 -2.1909 -5.2494 -1.2150 -4.5235 1.2685 2.6763" Properties=species:S:1:pos:R:3 comment="HfCd2BiPb, optimized geometry, DFT PBE" volume_a3_per_atom=34.01 spacegroup="P4/mmm (123)" magnetic_moment_mub_per_cell=0.22 formation_energy_ev_per_atom=0.82 n_ef_per_ev_fu=5.0 pbc="T T T"
Cd -1.0752 0.9765 -2.2801
Bi -4.4324 -1.0140 -1.5495
Pb 0.0000 0.0000 0.0000
Cd -2.2617 0.6343 1.3381
Hf -1.0955 -2.6247 -0.6075

=====

(4)
5
Lattice="-4.8862 -2.8092 0.7511 2.6279 -3.6368 3.4926 -1.2824 3.4488 4.5562" Properties=species:S:1:pos:R:3 comment="RbHfCdBi2, optimized geometry, DFT PBE" volume_a3_per_atom=37.87 spacegroup="P4/mmm (123)" magnetic_moment_mub_per_cell=0.00 formation_energy_ev_per_atom=-0.03 n_ef_per_ev_fu=3.9 pbc="T T T"
Rb -1.7704 -1.4986 4.4000
Cd -0.6412 1.7244 2.2781
Hf 0.0000 0.0000 0.0000
Bi 1.3139 -1.8184 1.7463
Bi -2.4431 -1.4046 0.3756

=====

(5)
5
Lattice="5.6406 0.0000 0.0000 0.0000 5.5721 0.0000 0.0000 0.0000 5.6406" Properties=species:S:1:pos:R:3 comment="HfCd2BiSe, optimized geometry, DFT PBE" volume_a3_per_atom=35.46 e_form_raw_kj_per_mol_fu=354 spacegroup="P4/mmm (123)" magnetic_moment_mub_per_cell=0.00 n_ef_per_ev_fu=8.2 pbc="T T T"
Hf 0.0000 0.0000 0.0000
Cd 0.0000 0.0000 2.8203
Se 2.8203 2.7861 2.8203
Cd 2.8203 0.0000 0.0000
Bi 0.0000 2.7861 0.0000

=====

(6)
5
Lattice="-3.2954 -1.1065 -3.6114 -3.6366 -1.0416 3.6375 -1.4837 4.7866 -0.1127" Properties=species:S:1:pos:R:3 comment="Hf2CdBiSe, optimized geometry, DFT PBE" volume_a3_per_atom=26.37 e_form_raw_kj_per_mol_fu=153 spacegroup="P4/mmm (123)" magnetic_moment_mub_per_cell=0.00 n_ef_per_ev_fu=4.1 pbc="T T T"
Bi -4.2078 1.3193 -0.0433
Cd -1.8183 -0.5208 1.8187
Se 0.0000 0.0000 0.0000
Hf -0.7418 2.3933 -0.0564
Hf -1.6477 -0.5532 -1.8057

=====

Copy entry 5 word for word.
5
Lattice="5.6406 0.0000 0.0000 0.0000 5.5721 0.0000 0.0000 0.0000 5.6406" Properties=species:S:1:pos:R:3 comment="HfCd2BiSe, optimized geometry, DFT PBE" volume_a3_per_atom=35.46 e_form_raw_kj_per_mol_fu=354 spacegroup="P4/mmm (123)" magnetic_moment_mub_per_cell=0.00 n_ef_per_ev_fu=8.2 pbc="T T T"
Hf 0.0000 0.0000 0.0000
Cd 0.0000 0.0000 2.8203
Se 2.8203 2.7861 2.8203
Cd 2.8203 0.0000 0.0000
Bi 0.0000 2.7861 0.0000